[1]
# CrInP (PBEsol, relaxed)
data_CrInP
_symmetry_space_group_name_H-M 'P 3 m 1'
_symmetry_Int_Tables_number 156
_symmetry_space_group_name_Hall 'P 3 -2"'
_cell_length_a 3.0055
_cell_length_b 3.0055
_cell_length_c 6.0627
_cell_angle_alpha 90.00
_cell_angle_beta 90.00
_cell_angle_gamma 120.00
loop_
_atom_site_label
_atom_site_fract_x
_atom_site_fract_y
_atom_site_fract_z
Cr1 0.0000 0.0000 0.0000
In1 0.3333 0.6667 0.6416
P1 0.6667 0.3333 0.2364
# offset from the most stable computed form	0.00	eV per formula unit
# ρ	6.9	Mg/m³
# calculated formation energy	0.028	eV per atom
# spin magnetization	0.2	μB/f.u.
# raw total energy	-6.311	eV/atom

[2]
# CrInP2 (PBEsol, relaxed)
data_CrInP2
_symmetry_space_group_name_H-M 'A m m 2'
_symmetry_Int_Tables_number 38
_symmetry_space_group_name_Hall 'A 2 -2'
_cell_length_a 4.1853
_cell_length_b 3.3483
_cell_length_c 8.7637
_cell_angle_alpha 90.00
_cell_angle_beta 90.00
_cell_angle_gamma 90.00
loop_
_atom_site_label
_atom_site_fract_x
_atom_site_fract_y
_atom_site_fract_z
Cr1 0.0000 0.0000 0.0000
In1 0.5000 0.0000 0.3887
P1 0.0000 0.0000 0.6994
P2 0.5000 0.0000 0.1124
# ρ	6.2	Mg/m³
# calculated formation energy	0.128	eV per atom
# spin magnetization	0.0	μB/f.u.
# raw total energy	-6.074	eV/atom